First-principles (GGA-PBEsol) data for a relaxed TcSb2TeH crystal, as listed in Alexandria via LeMat-Bulk.

The structure belongs to space group P4/mmm (No. 123); the cell edges are 5.070, 5.070 and 5.146 Å and the angles 90.00°, 90.00° and 90.00°. The asymmetric unit holds Tc at (0.000, 0.000, 0.000), Sb at (0.000, 0.500, 0.000), Te at (0.000, 0.000, 0.500) and H at (0.500, 0.500, 0.500).

The calculation puts the uncorrected energy at -4.54 eV per atom. As for the density of states at the Fermi level: 0.9301 states/eV/atom.